18
Lattice="7.606 0.190 0.000 -2.309 7.673 0.000 0.000 0.000 7.989" Properties=species:S:1:pos:R:3 comment="Ca3La2Si4 PBE relaxed" density_g_cm3=3.61 e_form_raw_ev_per_atom=-0.632 pbc="T T T"
Ca 5.157 2.006 6.537
Ca -1.154 3.837 3.995
Ca 1.354 1.911 5.447
Ca 2.649 3.932 0.000
Ca 3.943 5.953 2.542
Ca 0.140 5.858 1.453
Si 2.574 7.213 0.197
Si 5.602 3.921 0.872
Si 2.723 0.650 7.793
Si -0.305 3.942 7.117
Si -1.229 7.118 3.798
Si 3.498 4.037 4.867
Si 1.799 3.826 3.122
Si 6.526 0.745 4.191
La 0.221 1.558 1.491
La 1.273 6.210 5.485
La 5.077 6.305 6.499
La 4.024 1.653 2.504